! MnCrO3 GGA+U optimized geometry; values from VASP
! - Symmetry: No. 15
! - Total DFT energy (no corrections): -7.563 eV/atom
&SYSTEM
  ibrav = 0, nat = 20, ntyp = 3
/
ATOMIC_SPECIES
Mn 54.94 Mn.upf
Cr 52.00 Cr.upf
O 16.00 O.upf
CELL_PARAMETERS angstrom
5.238 -3.763 0.000
5.238 3.763 0.000
-0.442 0.000 5.256
ATOMIC_POSITIONS angstrom
Mn 4.906 2.855 3.942
Mn 5.127 1.123 1.314
Mn 4.906 -1.123 3.942
Mn 5.127 -2.855 1.314
Cr 2.317 0.715 4.127
Cr 2.538 -0.715 1.499
Cr 7.496 0.715 3.756
Cr 7.716 -0.715 1.128
O 1.779 1.192 0.728
O 4.187 2.638 2.130
O 6.067 2.638 0.498
O 1.559 -1.192 3.356
O 3.705 0.162 2.786
O 3.926 -0.162 0.158
O 6.108 0.162 5.097
O 6.329 -0.162 2.470
O 8.475 1.192 1.900
O 3.966 -2.638 4.758
O 5.846 -2.638 3.125
O 8.254 -1.192 4.528